Compound: KSrP2
Source: Alexandria
Functional: PBE
Structure: optimized geometry

Crystal system: tetragonal
Energy of formation from the pure elements (eV/atom): -0.267

CIF file:
```
data_KSrP2
_space_group_name_H-M_alt 'P 4/m m m'
_space_group_IT_number 123
_space_group_name_Hall '-P 4 2'
_cell_length_a 3.367
_cell_length_b 3.367
_cell_length_c 8.969
_cell_angle_alpha 90.00
_cell_angle_beta 90.00
_cell_angle_gamma 90.00
loop_
_atom_site_label
_atom_site_type_symbol
_atom_site_fract_x
_atom_site_fract_y
_atom_site_fract_z
_atom_site_occupancy
K1 K 0.000 0.000 0.000 1
Sr1 Sr 0.000 0.000 0.500 1
P1 P 0.500 0.500 0.266 1
```